# 1
A crystal of K6YO4 relaxed with PBEsol, computed with SCAN.

Results
The uncorrected formation energy is -1.657 eV per atom.

abc: 6.585 9.270 9.270
angles: 120.00 90.00 90.00
Atoms (fractional coordinates):
1 K 0.515 0.133 0.867
2 K 0.183 0.458 0.916
3 K 0.183 0.084 0.542
4 K 0.515 0.733 0.867
5 K 0.183 0.458 0.542
6 K 0.015 0.867 0.733
7 K 0.515 0.133 0.267
8 K 0.683 0.542 0.458
9 K 0.683 0.916 0.458
10 K 0.015 0.267 0.133
11 K 0.683 0.542 0.084
12 K 0.015 0.867 0.133
13 Y 0.766 0.333 0.667
14 Y 0.266 0.667 0.333
15 O 0.885 0.209 0.791
16 O 0.440 0.333 0.667
17 O 0.885 0.581 0.791
18 O 0.885 0.209 0.419
19 O 0.385 0.791 0.581
20 O 0.385 0.419 0.209
21 O 0.940 0.667 0.333
22 O 0.385 0.791 0.209

***

# 2
A crystal of NbP4Se3Cl5 relaxed with PBEsol, computed with SCAN.

Results
The uncorrected formation energy is -0.669 eV per atom.

abc: 11.885 13.048 18.469
angles: 90.00 90.00 90.00
Atoms (fractional coordinates):
1 Nb 0.162 0.072 0.761
2 Nb 0.838 0.428 0.261
3 Nb 0.838 0.928 0.239
4 Nb 0.162 0.572 0.739
5 Nb 0.338 0.072 0.261
6 Nb 0.662 0.428 0.761
7 Nb 0.662 0.928 0.739
8 Nb 0.338 0.572 0.239
9 P 0.087 0.155 0.890
10 P 0.913 0.345 0.390
11 P 0.913 0.845 0.110
12 P 0.087 0.655 0.610
13 P 0.912 0.173 0.929
14 P 0.088 0.327 0.429
15 P 0.088 0.827 0.071
16 P 0.912 0.673 0.571
17 P 0.014 0.312 0.898
18 P 0.986 0.188 0.398
19 P 0.986 0.688 0.102
20 P 0.014 0.812 0.602
21 P 0.105 0.222 0.066
22 P 0.895 0.278 0.566
23 P 0.895 0.778 0.934
24 P 0.105 0.722 0.434
25 P 0.413 0.155 0.390
26 P 0.587 0.345 0.890
27 P 0.587 0.845 0.610
28 P 0.413 0.655 0.110
29 P 0.588 0.173 0.429
30 P 0.412 0.327 0.929
31 P 0.412 0.827 0.571
32 P 0.588 0.673 0.071
33 P 0.486 0.312 0.398
34 P 0.514 0.188 0.898
35 P 0.514 0.688 0.602
36 P 0.486 0.812 0.102
37 P 0.395 0.222 0.566
38 P 0.605 0.278 0.066
39 P 0.605 0.778 0.434
40 P 0.395 0.722 0.934
41 Se 0.201 0.129 0.984
42 Se 0.799 0.371 0.484
43 Se 0.799 0.871 0.016
44 Se 0.201 0.629 0.516
45 Se 0.931 0.155 0.049
46 Se 0.069 0.345 0.549
47 Se 0.069 0.845 0.951
48 Se 0.931 0.655 0.451
49 Se 0.086 0.370 0.003
50 Se 0.914 0.130 0.503
51 Se 0.914 0.630 0.997
52 Se 0.086 0.870 0.497
53 Se 0.299 0.129 0.484
54 Se 0.701 0.371 0.984
55 Se 0.701 0.871 0.516
56 Se 0.299 0.629 0.016
57 Se 0.569 0.155 0.549
58 Se 0.431 0.345 0.049
59 Se 0.431 0.845 0.451
60 Se 0.569 0.655 0.951
61 Se 0.414 0.370 0.503
62 Se 0.586 0.130 0.003
63 Se 0.586 0.630 0.497
64 Se 0.414 0.870 0.997
65 Cl 0.226 0.010 0.653
66 Cl 0.774 0.490 0.153
67 Cl 0.774 0.990 0.347
68 Cl 0.226 0.510 0.847
69 Cl 0.029 0.945 0.786
70 Cl 0.971 0.555 0.286
71 Cl 0.971 0.055 0.214
72 Cl 0.029 0.445 0.714
73 Cl 0.287 0.989 0.840
74 Cl 0.713 0.511 0.340
75 Cl 0.713 0.011 0.160
76 Cl 0.287 0.489 0.660
77 Cl 0.274 0.218 0.767
78 Cl 0.726 0.282 0.267
79 Cl 0.726 0.782 0.233
80 Cl 0.274 0.718 0.733
81 Cl 0.016 0.174 0.718
82 Cl 0.984 0.326 0.218
83 Cl 0.984 0.826 0.282
84 Cl 0.016 0.674 0.782
85 Cl 0.274 0.010 0.153
86 Cl 0.726 0.490 0.653
87 Cl 0.726 0.990 0.847
88 Cl 0.274 0.510 0.347
89 Cl 0.471 0.945 0.286
90 Cl 0.529 0.555 0.786
91 Cl 0.529 0.055 0.714
92 Cl 0.471 0.445 0.214
93 Cl 0.213 0.989 0.340
94 Cl 0.787 0.511 0.840
95 Cl 0.787 0.011 0.660
96 Cl 0.213 0.489 0.160
97 Cl 0.226 0.218 0.267
98 Cl 0.774 0.282 0.767
99 Cl 0.774 0.782 0.733
100 Cl 0.226 0.718 0.233
101 Cl 0.484 0.174 0.218
102 Cl 0.516 0.326 0.718
103 Cl 0.516 0.826 0.782
104 Cl 0.484 0.674 0.282

***

# 3
A crystal of ZrTe2Br relaxed with PBEsol, computed with SCAN.

Results
The uncorrected formation energy is 0.020 eV per atom. As for the relative energy among the computed polymorphs: 842 meV/atom.

abc: 3.250 5.438 5.438
angles: 90.00 90.00 90.00
Atoms (fractional coordinates):
1 Te 0.000 0.000 0.500
2 Te 0.000 0.500 0.000
3 Br 0.500 0.000 0.000
4 Zr 0.500 0.500 0.500

***

# 4
A crystal of MgTiAsBr2 relaxed with PBEsol, computed with SCAN.

Results
The uncorrected formation energy is -0.411 eV per atom.

abc: 4.921 4.921 5.138
angles: 90.00 90.00 90.00
Atoms (fractional coordinates):
1 As 0.000 0.000 0.500
2 Mg 0.500 0.500 0.500
3 Br 0.000 0.500 0.000
4 Br 0.500 0.000 0.000
5 Ti 0.000 0.000 0.000

***

# 5
A crystal of Al3CuF relaxed with PBEsol, computed with SCAN.

Results
The uncorrected formation energy is 0.029 eV per atom.

abc: 4.287 4.287 4.287
angles: 90.00 90.00 90.00
Atoms (fractional coordinates):
1 Al 0.000 0.500 0.000
2 Al 0.000 0.000 0.500
3 Al 0.500 0.000 0.000
4 Cu 0.500 0.500 0.500
5 F 0.000 0.000 0.000

***

# 6
A crystal of MgTa2Mn relaxed with PBEsol, computed with SCAN.

Results
The calculation puts the energy relative to the elements at 199 meV per atom.

abc: 3.392 4.448 4.333
angles: 90.00 90.00 90.00
Each line ends with the local moment (μB).
Atoms (fractional coordinates):
1 Mg 0.500 0.500 0.000  -0.02
2 Mn 0.000 0.500 0.500  3.37
3 Ta 0.000 0.000 0.000  -0.18
4 Ta 0.500 0.000 0.500  -0.47

***

# 7
A crystal of ZnMo relaxed with PBEsol, computed with SCAN.

Results
The calculation puts the energy relative to the elements at 27 meV per atom. As for the relative energy among the computed polymorphs: 0 meV/atom.

abc: 2.684 4.311 5.029
angles: 90.00 96.99 90.00
Atoms (fractional coordinates):
1 Mo 0.595 0.750 0.873
2 Mo 0.405 0.250 0.127
3 Zn 0.003 0.250 0.625
4 Zn 0.997 0.750 0.375

***

# 8
A crystal of LaZrGe2Br relaxed with PBEsol, computed with SCAN.

Results
The uncorrected formation energy is -0.485 eV per atom.

abc: 5.084 5.084 5.189
angles: 90.00 90.00 90.00
Atoms (fractional coordinates):
1 Ge 0.000 0.500 0.000
2 Ge 0.500 0.000 0.000
3 Br 0.000 0.000 0.500
4 Zr 0.000 0.000 0.000
5 La 0.500 0.500 0.500